# 1
This record from Alexandria describes a geometry-optimized NbAlFe3 structure. The functional is GGA-PBE.

Geometry as POSCAR:
```
NbAlFe3
1.0
-3.232 2.656 -1.683
0.621 -1.827 -4.076
-3.082 -3.153 0.944
Fe Al Nb
3 1 1
Direct
0.500 0.000 0.000
0.000 0.000 0.500
0.000 0.500 0.000
0.500 0.500 0.500
0.000 0.000 0.000
```

Fermi-level density of states = 5.965 states/eV per cell
Excess energy over the best structure of this formula in the dataset = 479 meV per atom
Formation energy from the elements = 1.41 eV per atom

=====

# 2
This record from Alexandria describes a geometry-optimized MgTlCdAu structure. The functional is GGA-PBE.

Geometry as POSCAR:
```
MgTlCdAu
1.0
4.991 0.000 0.000
2.495 4.322 0.000
2.495 1.441 4.075
Cd Au Mg Tl
1 1 1 1
Direct
0.750 0.750 0.750
0.000 0.000 0.000
0.250 0.250 0.250
0.500 0.500 0.500
```

Fermi-level density of states = 1.875 states/eV per cell
Formation energy from the elements = -0.11 eV per atom

=====

# 3
This record from Alexandria describes a geometry-optimized SrAcGaGe structure. The functional is GGA-PBE.

Geometry as POSCAR:
```
SrAcGaGe
1.0
4.775 0.000 0.000
0.000 4.313 0.000
-2.388 0.000 5.898
Ac Sr Ge Ga
1 1 1 1
Direct
0.754 0.500 0.508
0.031 0.000 0.063
0.322 0.000 0.645
0.462 0.500 0.924
```

Fermi-level density of states = 1.955 states/eV per cell
Excess energy over the best structure of this formula in the dataset = 0 meV per atom
Formation energy from the elements = -0.60 eV per atom

=====

# 4
This record from Alexandria describes a geometry-optimized CaTmSn structure. The functional is GGA-PBE.

Geometry as POSCAR:
```
CaTmSn
1.0
-4.630 -0.713 -1.008
1.061 -4.296 -1.837
-1.078 -3.410 7.346
Ca Sn Tm
2 2 2
Direct
0.314 0.366 0.272
0.814 0.867 0.567
0.814 0.867 0.169
0.314 0.366 0.670
0.314 0.866 0.920
0.814 0.366 0.920
```

Fermi-level density of states = 3.689 states/eV per cell
Formation energy from the elements = -0.54 eV per atom